# 1
Computed, not measured: a geometry-optimized Zr2CdPt structure at the GGA-PBE level of DFT.

Unit cell a=2.9723 b=5.0308 c=5.2724 alpha=90.00 beta=90.14 gamma=90.00
Closest atoms and distances in Å follow each position.
Space group Pm (No. 6)
Symmetry-distinct sites (fractional):
Zr: 0.0000 0.0000 0.0000 (multiplicity 1)  4 Zr 2.97-3.21, 4 Pt 2.98-3.07, 4 Cd 3.00-3.01
Zr: 0.0051 0.5000 0.6227 (multiplicity 1)  4 Cd 2.97-3.09, 4 Zr 2.97-3.21, 4 Pt 3.00-3.01
Cd: 0.5027 0.5000 0.1353 (multiplicity 1)  8 Zr 2.97-3.09, 2 Cd 2.97, 2 Pt 3.14
Pt: 0.5024 0.0000 0.4909 (multiplicity 1)  2 Pt 2.97, 8 Zr 2.98-3.07, 2 Cd 3.14

Calculated values
Calculated formation energy   -0.45 eV per atom
Crystal system   monoclinic

# 2
Computed, not measured: a geometry-optimized Zr2CdPt structure at the GGA-PBE level of DFT.

Unit cell a=4.2913 b=4.3828 c=8.4421 alpha=90.00 beta=90.00 gamma=90.00
Closest atoms and distances in Å follow each position.
Space group Immm (No. 71)
Symmetry-distinct sites (fractional):
Zr: 0.0000 0.0000 0.2478 (multiplicity 4)  4 Pt 3.00-3.06, 4 Cd 3.02-3.03, 4 Zr 3.07
Cd: 0.0000 0.5000 0.0000 (multiplicity 2)  8 Zr 3.02-3.03, 4 Pt 3.07
Pt: 0.0000 0.5000 0.5000 (multiplicity 2)  8 Zr 3.00-3.06, 4 Cd 3.07

Calculated values
Calculated formation energy   -0.45 eV per atom
Crystal system   orthorhombic

# 3
Computed, not measured: a geometry-optimized ZrCdPt2 structure at the GGA-PBE level of DFT.

Unit cell a=9.9738 b=3.0812 c=4.8452 alpha=90.00 beta=101.85 gamma=90.00
Closest atoms and distances in Å follow each position.
Space group Cm (No. 8)
Symmetry-distinct sites (fractional):
Zr: 0.0000 0.0000 0.0000 (multiplicity 2)  7 Pt 2.84-2.90, 1 Cd 3.07, 2 Zr 3.08
Cd: 0.2695 0.5000 0.3342 (multiplicity 2)  7 Pt 2.82-2.90, 1 Zr 3.07, 2 Cd 3.08
Pt: 0.0183 0.5000 0.5144 (multiplicity 2)  3 Cd 2.82-2.90, 4 Zr 2.85-2.90, 4 Pt 2.98-3.08
Pt: 0.2577 0.0000 0.8276 (multiplicity 2)  3 Zr 2.84-2.86, 4 Cd 2.87-2.88, 4 Pt 2.98-3.08

Calculated values
Calculated formation energy   -0.63 eV per atom
Crystal system   monoclinic

- What is the calculated formation energy in the second record?
  -0.45 eV per atom